First-principles (PBE-GGA) data for a relaxed structure of Ca2MgTlIr, as listed in Alexandria.

Unit cell a=5.4602 b=5.4602 c=5.0893 alpha=90.00 beta=90.00 gamma=90.00
Atoms (fractional coordinates):
Ca1 0.0000 0.5000 0.0000
Tl1 0.5000 0.5000 0.5000
Ca2 0.5000 0.0000 0.0000
Ir1 0.0000 0.0000 0.0000
Mg1 0.0000 0.0000 0.5000

Output
Raw total energy, eV for the cell shown: -17.74
Calculated density, Mg/m³: 5.484
ΔH_f (0 K), eV per atom: -0.183
Total magnetization, μB per atom: 0.000
Symmetry: P4/mmm, No. 123

First-principles (PBE-GGA) data for a relaxed structure of Li3La2Pd12Pt, as listed in Alexandria.

Unit cell a=12.4619 b=12.4619 c=12.4619 alpha=26.09 beta=26.09 gamma=26.09
Atoms (fractional coordinates):
Pt1 0.0000 0.0000 0.0000
Pd1 0.6070 0.1102 0.1102
Pd2 0.8898 0.3930 0.8898
Pd3 0.8898 0.8898 0.3930
Pd4 0.6100 0.1312 0.6100
Li1 0.0000 0.0000 0.5000
La1 0.3612 0.3612 0.3612
Pd5 0.3900 0.3900 0.8688
Pd6 0.8688 0.3900 0.3900
La2 0.6388 0.6388 0.6388
Pd7 0.3900 0.8688 0.3900
Pd8 0.1102 0.1102 0.6070
Pd9 0.6100 0.6100 0.1312
Pd10 0.1312 0.6100 0.6100
Li2 0.0000 0.5000 0.0000
Pd11 0.1102 0.6070 0.1102
Li3 0.5000 0.0000 0.0000
Pd12 0.3930 0.8898 0.8898

Output
Raw total energy, eV for the cell shown: -89.51
Calculated density, Mg/m³: 8.915
ΔH_f (0 K), eV per atom: -0.309
Total magnetization, μB per atom: 0.000
Symmetry: R-3m, No. 166

First-principles (PBE-GGA) data for a relaxed structure of Ca4NdEu, as listed in Alexandria.

Unit cell a=7.1487 b=7.1487 c=7.1487 alpha=60.00 beta=60.00 gamma=60.00
Each line ends with the local moment (μB).
Atoms (fractional coordinates):
Ca1 0.6256 0.6256 0.1233  -0.02
Ca2 0.1233 0.6256 0.6256  -0.02
Eu1 0.2500 0.2500 0.2500  -6.93
Ca3 0.6256 0.1233 0.6256  -0.02
Nd1 0.0000 0.0000 0.0000  -0.29
Ca4 0.6256 0.6256 0.6256  -0.02

Output
Raw total energy, eV for the cell shown: -21.83
Calculated density, Mg/m³: 2.935
ΔH_f (0 K), eV per atom: 0.203
Total magnetization, μB per atom: 1.429
Symmetry: F-43m, No. 216